# SrP2Ir2 PBE-GGA optimized geometry
# * calculated formation energy: -81 kJ/mol of atoms
# * VASP energy: -6.89 eV/atom
data_SrP2Ir2
_symmetry_space_group_name_H-M 'P -1'
_symmetry_Int_Tables_number 2
_cell_length_a 6.218
_cell_length_b 6.221
_cell_length_c 6.555
_cell_angle_alpha 105.04
_cell_angle_beta 107.16
_cell_angle_gamma 114.54
loop_
_symmetry_equiv_pos_as_xyz
'x,y,z'
'-x,-y,-z'
loop_
_atom_site_label
_atom_site_fract_x
_atom_site_fract_y
_atom_site_fract_z
Sr1 0.134 0.384 0.250
P1 0.245 0.954 0.418
P2 0.465 0.674 0.918
Ir1 0.202 0.224 0.711
Ir2 0.488 0.010 0.211

# Na3LiH9Pd2 PBE-GGA optimized geometry
# * VASP energy: -3.31 eV/atom
data_Na3LiH9Pd2
_symmetry_space_group_name_H-M 'P -3 m 1'
_symmetry_Int_Tables_number 164
_symmetry_space_group_name_Hall '-P 3 2"'
_cell_length_a 5.1165
_cell_length_b 5.1165
_cell_length_c 6.2750
_cell_angle_alpha 90.00
_cell_angle_beta 90.00
_cell_angle_gamma 120.00
loop_
_atom_site_label
_atom_site_fract_x
_atom_site_fract_y
_atom_site_fract_z
Na1 0.0000 0.0000 0.0000
Na2 0.3333 0.6667 0.6610
Li1 0.0000 0.0000 0.5000
H1 0.0000 0.5000 0.0000
H2 0.1705 0.3410 0.3147
Pd1 0.3333 0.6667 0.1659

# Tb2ErBi2Te2 PBE-GGA optimized geometry
# * energy relative to the elements, uncorrected: -52 kJ/mol of atoms
# * VASP energy: -4.52 eV/atom
data_Tb2ErBi2Te2
_symmetry_space_group_name_H-M 'I 4/m m m'
_symmetry_Int_Tables_number 139
_symmetry_space_group_name_Hall '-I 4 2'
_cell_length_a 5.836
_cell_length_b 5.836
_cell_length_c 15.236
_cell_angle_alpha 90.00
_cell_angle_beta 90.00
_cell_angle_gamma 90.00
loop_
_atom_site_label
_atom_site_fract_x
_atom_site_fract_y
_atom_site_fract_z
Tb1 0.000 0.000 0.115
Er1 0.000 0.000 0.500
Bi1 0.000 0.500 0.000
Te1 0.000 0.000 0.304

# KLi2Np3N6 PBE-GGA optimized geometry
# * energy relative to the elements, uncorrected: -81 kJ/mol of atoms
# * VASP energy: -8.65 eV/atom
data_KLi2Np3N6
_symmetry_space_group_name_H-M 'C 1 2/m 1'
_symmetry_Int_Tables_number 12
_cell_length_a 14.385
_cell_length_b 3.471
_cell_length_c 7.687
_cell_angle_alpha 90.00
_cell_angle_beta 105.52
_cell_angle_gamma 90.00
loop_
_symmetry_equiv_pos_as_xyz
'x,y,z'
'-x,-y,-z'
'-x,y,-z'
'x,-y,z'
'x+1/2,y+1/2,z'
'-x+1/2,-y+1/2,-z'
'-x+1/2,y+1/2,-z'
'x+1/2,-y+1/2,z'
loop_
_atom_site_label
_atom_site_fract_x
_atom_site_fract_y
_atom_site_fract_z
K1 0.000 0.000 0.000
Li1 0.179 0.500 0.424
Np1 0.000 0.000 0.500
Np2 0.180 0.500 0.814
N1 0.017 0.500 0.683
N2 0.172 0.000 0.611
N3 0.179 0.000 0.990

# SrTl2Tc PBE-GGA optimized geometry
# * calculated formation energy: 40 kJ/mol of atoms
# * VASP energy: -3.78 eV/atom
data_SrTl2Tc
_symmetry_space_group_name_H-M 'I m m m'
_symmetry_Int_Tables_number 71
_symmetry_space_group_name_Hall '-I 2 2'
_cell_length_a 3.900
_cell_length_b 5.431
_cell_length_c 9.735
_cell_angle_alpha 90.00
_cell_angle_beta 90.00
_cell_angle_gamma 90.00
loop_
_atom_site_label
_atom_site_fract_x
_atom_site_fract_y
_atom_site_fract_z
Sr1 0.000 0.000 0.000
Tl1 0.000 0.500 0.213
Tc1 0.000 0.000 0.500

# DyErNbN3 PBE-GGA optimized geometry
# * energy relative to the elements, uncorrected: -139 kJ/mol of atoms
# * VASP energy: -8.81 eV/atom
data_DyErNbN3
_symmetry_space_group_name_H-M 'P 1 21/m 1'
_symmetry_Int_Tables_number 11
_cell_length_a 5.738
_cell_length_b 3.321
_cell_length_c 8.588
_cell_angle_alpha 90.00
_cell_angle_beta 102.98
_cell_angle_gamma 90.00
loop_
_symmetry_equiv_pos_as_xyz
'x,y,z'
'-x,-y,-z'
'-x,y+1/2,-z'
'x,-y+1/2,z'
loop_
_atom_site_label
_atom_site_fract_x
_atom_site_fract_y
_atom_site_fract_z
Dy1 0.153 0.250 0.188
Er1 0.270 0.750 0.548
Nb1 0.364 0.250 0.866
N1 0.058 0.250 0.679
N2 0.247 0.750 0.989
N3 0.454 0.750 0.331

# LaGe2Ir PBE-GGA optimized geometry
# * calculated formation energy: -30 kJ/mol of atoms
# * VASP energy: -6.07 eV/atom
data_LaGe2Ir
_symmetry_space_group_name_H-M 'F m -3 m'
_symmetry_Int_Tables_number 225
_symmetry_space_group_name_Hall '-F 4 2 3'
_cell_length_a 6.799
_cell_length_b 6.799
_cell_length_c 6.799
_cell_angle_alpha 90.00
_cell_angle_beta 90.00
_cell_angle_gamma 90.00
loop_
_atom_site_label
_atom_site_fract_x
_atom_site_fract_y
_atom_site_fract_z
La1 0.000 0.000 0.000
Ge1 0.250 0.250 0.250
Ir1 0.000 0.000 0.500

# CsTl2InBi PBE-GGA optimized geometry
# * calculated formation energy: -13 kJ/mol of atoms
# * VASP energy: -2.57 eV/atom
data_CsTl2InBi
_symmetry_space_group_name_H-M 'I m m 2'
_symmetry_Int_Tables_number 44
_cell_length_a 4.948
_cell_length_b 5.234
_cell_length_c 14.997
_cell_angle_alpha 90.00
_cell_angle_beta 90.00
_cell_angle_gamma 90.00
loop_
_symmetry_equiv_pos_as_xyz
'x,y,z'
'-x,-y,z'
'-x,y,z'
'x,-y,z'
'x+1/2,y+1/2,z+1/2'
'-x+1/2,-y+1/2,z+1/2'
'-x+1/2,y+1/2,z+1/2'
'x+1/2,-y+1/2,z+1/2'
loop_
_atom_site_label
_atom_site_fract_x
_atom_site_fract_y
_atom_site_fract_z
Cs1 0.000 0.000 0.000
Tl1 0.000 0.000 0.617
Tl2 0.000 0.500 0.254
In1 0.000 0.500 0.750
Bi1 0.000 0.000 0.382